No. 1
Here is a geometry-optimized Tm2ScAl3NiGe2 structure from OQMD. Energies are from PBE.

It has space group Amm2 (No. 38), with a = 4.084 Å, b = 11.753 Å, c = 6.831 Å, α = 90.00°, β = 90.00° and γ = 90.00°. The distinct sites, in fractional coordinates, are Tm at (0.000, 0.203, 0.000), Sc at (0.000, 0.000, 0.605), Al at (0.500, 0.000, 0.974), Al at (0.500, 0.115, 0.321), Ni at (0.000, 0.000, 0.211) and Ge at (0.500, 0.162, 0.702).

For the theoretical density, the calculation gives 6.76 Mg/m³. The calculation puts the total moment at 0.00 μB/cell. The electronic total energy is -47.95 eV per formula unit.

---

No. 2
Here is a geometry-optimized TbTm2Al3NiGe2 structure from OQMD. Energies are from PBE.

It has space group Amm2 (No. 38), with a = 4.159 Å, b = 11.961 Å, c = 6.897 Å, α = 90.00°, β = 90.00° and γ = 90.00°. The distinct sites, in fractional coordinates, are Tb at (0.000, 0.000, 0.000), Tm at (0.000, 0.201, 0.395), Al at (0.500, 0.000, 0.367), Al at (0.500, 0.115, 0.710), Ni at (0.000, 0.000, 0.592) and Ge at (0.500, 0.169, 0.097).

For the theoretical density, the calculation gives 7.57 Mg/m³. The calculation puts the total moment at 0.00 μB/cell. The electronic total energy is -46.30 eV per formula unit.

---

No. 3
Here is a geometry-optimized TbY2Al3NiGe2 structure from OQMD. Energies are from PBE.

It has space group Amm2 (No. 38), with a = 4.191 Å, b = 12.052 Å, c = 6.956 Å, α = 90.00°, β = 90.00° and γ = 90.00°. The distinct sites, in fractional coordinates, are Tb at (0.000, 0.000, 0.000), Y at (0.000, 0.201, 0.396), Al at (0.500, 0.000, 0.369), Al at (0.500, 0.114, 0.712), Ni at (0.000, 0.000, 0.597) and Ge at (0.500, 0.167, 0.097).

For the theoretical density, the calculation gives 5.88 Mg/m³. The calculation puts the total moment at 0.00 μB/cell. The electronic total energy is -50.36 eV per formula unit.

---

No. 4
Here is a geometry-optimized Y3Al3Ni2Ge structure from OQMD. Energies are from PBE.

It has space group P-62m (No. 189), with a = 7.8470 Å, b = 7.8470 Å, c = 3.3648 Å, α = 90.00°, β = 90.00° and γ = 120.00°. The distinct sites, in fractional coordinates, are Y at (0.0000, 0.3012, 0.0000), Al at (0.0000, 0.6189, 0.5000), Ni at (0.3333, 0.6667, 0.0000) and Ge at (0.0000, 0.0000, 0.5000).

For the theoretical density, the calculation gives 4.98 Mg/m³. The calculation puts the total moment at 0.24 μB/cell. The electronic total energy is -47.99 eV per formula unit.

---

No. 5
Here is a geometry-optimized Y4AlNi2Ge4 structure from OQMD. Energies are from PBE.

It has space group C2/m (No. 12), with a = 15.303 Å, b = 4.253 Å, c = 6.962 Å, α = 90.00°, β = 108.36° and γ = 90.00°. The distinct sites, in fractional coordinates, are Y at (0.090, 0.000, 0.387), Y at (0.154, 0.000, 0.939), Al at (0.000, 0.500, 0.000), Ni at (0.217, 0.500, 0.643), Ge at (0.064, 0.500, 0.669) and Ge at (0.201, 0.500, 0.267).

For the theoretical density, the calculation gives 6.11 Mg/m³. The calculation puts the total moment at 0.01 μB/cell. The electronic total energy is -67.96 eV per formula unit.

---

No. 6
Here is a geometry-optimized Y3Al3Ni2Ge structure from OQMD. Energies are from PBE.

It has space group P-62m (No. 189), with a = 7.2715 Å, b = 7.2715 Å, c = 3.7995 Å, α = 90.00°, β = 90.00° and γ = 120.00°. The distinct sites, in fractional coordinates, are Y at (0.0000, 0.5966, 0.0000), Al at (0.0000, 0.2673, 0.5000), Ni at (0.3333, 0.6667, 0.5000) and Ge at (0.0000, 0.0000, 0.0000).

For the theoretical density, the calculation gives 5.13 Mg/m³. The calculation puts the total moment at 0.00 μB/cell. The electronic total energy is -51.31 eV per formula unit.

---

No. 7
Here is a geometry-optimized Al6GePd2 structure from OQMD. Energies are from PBE.

It has space group P-62m (No. 189), with a = 6.9171 Å, b = 6.9171 Å, c = 3.5786 Å, α = 90.00°, β = 90.00° and γ = 120.00°. The distinct sites, in fractional coordinates, are Al at (0.0000, 0.3949, 0.0000), Al at (0.0000, 0.7236, 0.5000), Ge at (0.0000, 0.0000, 0.0000) and Pd at (0.3333, 0.6667, 0.5000).

For the theoretical density, the calculation gives 5.01 Mg/m³. The electronic total energy is -40.17 eV per formula unit.

---

No. 8
Here is a geometry-optimized Al2GePd5 structure from OQMD. Energies are from PBE.

It has space group I4/mmm (No. 139), with a = 4.027 Å, b = 4.027 Å, c = 14.816 Å, α = 90.00°, β = 90.00° and γ = 90.00°. The distinct sites, in fractional coordinates, are Al at (0.000, 0.000, 0.247), Ge at (0.000, 0.000, 0.500), Pd at (0.000, 0.000, 0.000) and Pd at (0.000, 0.500, 0.137).

For the theoretical density, the calculation gives 9.10 Mg/m³. The electronic total energy is -43.19 eV per formula unit.

---

No. 9
Here is a geometry-optimized Sc3Al3GePd2 structure from OQMD. Energies are from PBE.

It has space group P-62m (No. 189), with a = 7.1807 Å, b = 7.1807 Å, c = 3.6426 Å, α = 90.00°, β = 90.00° and γ = 120.00°. The distinct sites, in fractional coordinates, are Sc at (0.0000, 0.3946, 0.0000), Al at (0.0000, 0.7302, 0.5000), Ge at (0.0000, 0.0000, 0.0000) and Pd at (0.3333, 0.6667, 0.5000).

For the theoretical density, the calculation gives 5.12 Mg/m³. The calculation puts the total moment at 0.00 μB/cell. The electronic total energy is -51.78 eV per formula unit.

---

No. 10
Here is a geometry-optimized PmAlGe structure from OQMD. Energies are from PBE.

It has space group P-6m2 (No. 187), with a = 4.2760 Å, b = 4.2760 Å, c = 4.1659 Å, α = 90.00°, β = 90.00° and γ = 120.00°. The distinct sites, in fractional coordinates, are Pm at (0.0000, 0.0000, 0.0000), Al at (0.3333, 0.6667, 0.5000) and Ge at (0.6667, 0.3333, 0.5000).

For the theoretical density, the calculation gives 6.15 Mg/m³. The calculation puts the total moment at 0.00 μB/cell. The electronic total energy is -15.12 eV per formula unit.

---

No. 11
Here is a geometry-optimized Pm2Al3Ge4 structure from OQMD. Energies are from PBE.

It has space group Cmce (No. 64), with a = 6.070 Å, b = 14.973 Å, c = 7.987 Å, α = 90.00°, β = 90.00° and γ = 90.00°. The distinct sites, in fractional coordinates, are Pm at (0.000, 0.114, 0.083), Al at (0.000, 0.000, 0.500), Al at (0.250, 0.216, 0.750), Ge at (0.000, 0.186, 0.449) and Ge at (0.250, 0.047, 0.750).

For the theoretical density, the calculation gives 6.05 Mg/m³. The calculation puts the total moment at 0.01 μB/cell. The electronic total energy is -43.42 eV per formula unit.

---

No. 12
Here is a geometry-optimized Pm4AlGe3 structure from OQMD. Energies are from PBE.

It has space group Pmm2 (No. 25), with a = 4.074 Å, b = 4.465 Å, c = 11.144 Å, α = 90.00°, β = 90.00° and γ = 90.00°. The distinct sites, in fractional coordinates, are Pm at (0.000, 0.000, 0.000), Pm at (0.000, 0.500, 0.496), Pm at (0.500, 0.000, 0.275), Pm at (0.500, 0.500, 0.780), Al at (0.500, 0.000, 0.567), Ge at (0.000, 0.000, 0.717), Ge at (0.000, 0.500, 0.216) and Ge at (0.500, 0.500, 0.056).

For the theoretical density, the calculation gives 6.76 Mg/m³. The calculation puts the total moment at 0.31 μB/cell. The electronic total energy is -42.74 eV per formula unit.

---

No. 13
Here is a geometry-optimized PmAlGe structure from OQMD. Energies are from PBE.

It has space group F-43m (No. 216), with a = 6.890 Å, b = 6.890 Å, c = 6.890 Å, α = 90.00°, β = 90.00° and γ = 90.00°. The distinct sites, in fractional coordinates, are Pm at (0.000, 0.000, 0.000), Al at (0.250, 0.250, 0.750) and Ge at (0.250, 0.250, 0.250).

For the theoretical density, the calculation gives 4.97 Mg/m³. The calculation puts the total moment at 0.00 μB/cell. The electronic total energy is -13.02 eV per formula unit.

---

No. 14
Here is a geometry-optimized Pm2AlGe structure from OQMD. Energies are from PBE.

It has space group P2_1/m (No. 11), with a = 6.049 Å, b = 4.096 Å, c = 8.789 Å, α = 90.00°, β = 107.86° and γ = 90.00°. The distinct sites, in fractional coordinates, are Pm at (0.206, 0.250, 0.427), Pm at (0.284, 0.750, 0.068), Al at (0.360, 0.750, 0.715) and Ge at (0.141, 0.250, 0.790).

For the theoretical density, the calculation gives 6.24 Mg/m³. The calculation puts the total moment at 0.63 μB/cell. The electronic total energy is -20.54 eV per formula unit.

---

No. 15
Here is a geometry-optimized PmAlGe structure from OQMD. Energies are from PBE.

It has space group F-43m (No. 216), with a = 6.629 Å, b = 6.629 Å, c = 6.629 Å, α = 90.00°, β = 90.00° and γ = 90.00°. The distinct sites, in fractional coordinates, are Pm at (0.000, 0.000, 0.000), Al at (0.250, 0.250, 0.750) and Ge at (0.000, 0.000, 0.500).

For the theoretical density, the calculation gives 5.58 Mg/m³. The calculation puts the total moment at 0.01 μB/cell. The electronic total energy is -13.45 eV per formula unit.

---

No. 16
Here is a geometry-optimized PrAl2Ge2 structure from OQMD. Energies are from PBE.

It has space group I4/mmm (No. 139), with a = 4.168 Å, b = 4.168 Å, c = 11.903 Å, α = 90.00°, β = 90.00° and γ = 90.00°. The distinct sites, in fractional coordinates, are Pr at (0.000, 0.000, 0.000), Al at (0.000, 0.500, 0.250) and Ge at (0.000, 0.000, 0.387).

For the theoretical density, the calculation gives 5.46 Mg/m³. The calculation puts the total moment at 0.01 μB/cell. The electronic total energy is -23.20 eV per formula unit.

---

No. 17
Here is a geometry-optimized PrAlGe structure from OQMD. Energies are from PBE.

It has space group P-62m (No. 189), with a = 7.3486 Å, b = 7.3486 Å, c = 4.3495 Å, α = 90.00°, β = 90.00° and γ = 120.00°. The distinct sites, in fractional coordinates, are Pr at (0.0000, 0.3885, 0.0000), Al at (0.0000, 0.7438, 0.5000), Ge at (0.0000, 0.0000, 0.0000) and Ge at (0.3333, 0.6667, 0.5000).

For the theoretical density, the calculation gives 5.89 Mg/m³. The calculation puts the total moment at 0.00 μB/cell. The electronic total energy is -14.81 eV per formula unit.

---

No. 18
Here is a geometry-optimized Pr2AlGe structure from OQMD. Energies are from PBE.

It has space group Amm2 (No. 38), with a = 4.143 Å, b = 4.528 Å, c = 11.462 Å, α = 90.00°, β = 90.00° and γ = 90.00°. The distinct sites, in fractional coordinates, are Pr at (0.000, 0.000, 0.000), Pr at (0.500, 0.000, 0.284), Al at (0.500, 0.000, 0.573) and Ge at (0.000, 0.000, 0.715).

For the theoretical density, the calculation gives 5.89 Mg/m³. The calculation puts the total moment at 1.04 μB/cell. The electronic total energy is -20.53 eV per formula unit.

---

No. 19
Here is a geometry-optimized PrAlGe structure from OQMD. Energies are from PBE.

It has space group P-62m (No. 189), with a = 7.8304 Å, b = 7.8304 Å, c = 4.1733 Å, α = 90.00°, β = 90.00° and γ = 120.00°. The distinct sites, in fractional coordinates, are Pr at (0.0000, 0.7200, 0.0000), Al at (0.0000, 0.4007, 0.5000), Ge at (0.0000, 0.0000, 0.5000) and Ge at (0.3333, 0.6667, 0.0000).

For the theoretical density, the calculation gives 5.41 Mg/m³. The calculation puts the total moment at 0.01 μB/cell. The electronic total energy is -13.81 eV per formula unit.

---

No. 20
Here is a geometry-optimized PrAl2Ge2 structure from OQMD. Energies are from PBE.

It has space group I4/mmm (No. 139), with a = 4.738 Å, b = 4.738 Å, c = 9.374 Å, α = 90.00°, β = 90.00° and γ = 90.00°. The distinct sites, in fractional coordinates, are Pr at (0.000, 0.000, 0.000), Al at (0.000, 0.000, 0.363) and Ge at (0.000, 0.500, 0.250).

For the theoretical density, the calculation gives 5.37 Mg/m³. The calculation puts the total moment at 0.00 μB/cell. The electronic total energy is -23.03 eV per formula unit.